# 1
DFT (GGA-PBE) results for an optimized crystal structure of NdSn3Rh2.

Symmetry: C2/m
Total energy, eV per cell: -104.933

a b c (Å): 9.087 9.087 10.674
angles (deg): 104.13 104.13 27.78
Atoms (fractional coordinates):
Nd 0.000 0.000 0.000
Nd 0.148 0.148 0.691
Nd 0.852 0.852 0.309
Sn 0.051 0.051 0.348
Sn 0.228 0.228 0.372
Sn 0.348 0.348 0.078
Sn 0.366 0.366 0.818
Sn 0.500 0.500 0.500
Sn 0.634 0.634 0.182
Sn 0.652 0.652 0.922
Sn 0.772 0.772 0.628
Sn 0.949 0.949 0.652
Rh 0.202 0.202 0.095
Rh 0.357 0.357 0.560
Rh 0.490 0.490 0.231
Rh 0.510 0.510 0.769
Rh 0.643 0.643 0.440
Rh 0.798 0.798 0.905

# 2
DFT (GGA-PBE) results for an optimized crystal structure of PIBr4.

Symmetry: P1
ΔE_f (raw), meV per atom: -227

a b c (Å): 5.239 7.149 8.570
angles (deg): 84.76 77.69 78.26
Atoms (fractional coordinates):
P 0.000 0.000 0.000
I 0.577 0.644 0.498
Br 0.069 0.166 0.764
Br 0.123 0.600 0.412
Br 0.634 0.186 0.135
Br 0.831 0.757 0.937

# 3
DFT (GGA-PBE) results for an optimized crystal structure of Na2CrH2.

Symmetry: P4/mbm
Total energy, eV per cell: -34.088

a b c (Å): 5.715 5.715 4.656
angles (deg): 90.00 90.00 90.00
Atoms (fractional coordinates):
Na 0.179 0.321 0.000
Na 0.321 0.821 0.000
Na 0.679 0.179 0.000
Na 0.821 0.679 0.000
Cr 0.000 0.000 0.500
Cr 0.500 0.500 0.500
H 0.236 0.736 0.500
H 0.264 0.236 0.500
H 0.736 0.764 0.500
H 0.764 0.264 0.500

# 4
DFT (GGA-PBE) results for an optimized crystal structure of Cd2HgH.

Symmetry: I-42d
Total energy, eV per cell: -8.800

a b c (Å): 7.098 7.098 7.098
angles (deg): 134.60 134.60 66.15
Atoms (fractional coordinates):
Cd 0.375 0.244 0.369
Cd 0.756 0.125 0.131
Cd 0.875 0.006 0.631
Cd 0.994 0.625 0.869
Hg 0.250 0.750 0.500
Hg 0.500 0.500 0.000
H 0.000 0.000 0.000
H 0.750 0.250 0.500

# 5
DFT (GGA-PBE) results for an optimized crystal structure of BaMgSb2O8.

Symmetry: P-3
ΔE_f (raw), meV per atom: -1467

a b c (Å): 5.447 5.447 6.709
angles (deg): 90.00 90.00 120.00
Atoms (fractional coordinates):
Ba 0.000 0.000 0.000
Mg 0.000 0.000 0.500
Sb 0.333 0.667 0.435
Sb 0.667 0.333 0.565
O 0.047 0.358 0.638
O 0.311 0.953 0.638
O 0.333 0.667 0.131
O 0.358 0.311 0.362
O 0.642 0.689 0.638
O 0.667 0.333 0.869
O 0.689 0.047 0.362
O 0.953 0.642 0.362

# 6
DFT (GGA-PBE) results for an optimized crystal structure of CaAlSe.

Symmetry: P-6m2
ΔE_f (raw), meV per atom: -605

a b c (Å): 4.654 4.654 3.884
angles (deg): 90.00 90.00 120.00
Atoms (fractional coordinates):
Ca 0.000 0.000 0.000
Al 0.333 0.667 0.500
Se 0.667 0.333 0.500

# 7
DFT (GGA-PBE) results for an optimized crystal structure of La3ErZn2.

Symmetry: Pmc2_1
Total energy, eV per cell: -46.274

a b c (Å): 5.306 9.520 6.786
angles (deg): 90.00 90.00 90.00
Atoms (fractional coordinates):
La 0.000 0.057 0.000
La 0.000 0.334 0.311
La 0.000 0.666 0.811
La 0.000 0.943 0.500
La 0.500 0.175 0.674
La 0.500 0.825 0.174
Er 0.500 0.448 0.007
Er 0.500 0.552 0.507
Zn 0.000 0.349 0.785
Zn 0.000 0.651 0.285
Zn 0.500 0.161 0.212
Zn 0.500 0.839 0.712

# 8
DFT (GGA-PBE) results for an optimized crystal structure of GaGe2Os.

Symmetry: I-42d
Total energy, eV per cell: -42.835

a b c (Å): 6.893 6.893 6.893
angles (deg): 130.10 130.10 73.25
Atoms (fractional coordinates):
Ga 0.000 0.000 0.000
Ga 0.750 0.250 0.500
Ge 0.155 0.625 0.030
Ge 0.375 0.405 0.530
Ge 0.595 0.125 0.970
Ge 0.875 0.845 0.470
Os 0.250 0.750 0.500
Os 0.500 0.500 0.000

# 9
DFT (GGA-PBE) results for an optimized crystal structure of Ac2Ga2Sn.

Symmetry: Immm
Total energy, eV per cell: -21.056

a b c (Å): 6.289 6.289 6.289
angles (deg): 136.83 118.61 77.99
Atoms (fractional coordinates):
Ac 0.212 0.212 0.000
Ac 0.788 0.788 0.000
Ga 0.213 0.500 0.713
Ga 0.787 0.500 0.287
Sn 0.500 0.000 0.500

# 10
DFT (GGA-PBE) results for an optimized crystal structure of BeZn2Re.

Symmetry: R3m
Total energy, eV per cell: -17.894

a b c (Å): 8.661 8.661 8.661
angles (deg): 18.04 18.04 18.04
Atoms (fractional coordinates):
Be 0.000 0.000 0.000
Zn 0.255 0.255 0.255
Zn 0.497 0.497 0.497
Re 0.742 0.742 0.742

# 11
DFT (GGA-PBE) results for an optimized crystal structure of Bi3AuBr.

Symmetry: Pm-3m
ΔE_f (raw), meV per atom: 423

a b c (Å): 5.636 5.636 5.636
angles (deg): 90.00 90.00 90.00
Atoms (fractional coordinates):
Bi 0.000 0.000 0.500
Bi 0.000 0.500 0.000
Bi 0.500 0.000 0.000
Au 0.000 0.000 0.000
Br 0.500 0.500 0.500

# 12
DFT (GGA-PBE) results for an optimized crystal structure of KInCu2.

Symmetry: Immm
Total energy, eV per cell: -10.581

a b c (Å): 5.154 5.154 5.154
angles (deg): 124.75 112.47 92.74
Atoms (fractional coordinates):
K 0.000 0.000 0.000
In 0.500 0.500 0.000
Cu 0.325 0.825 0.500
Cu 0.675 0.175 0.500

> Number 12 is which compound?

KInCu2

What did the third record say?
DFT (GGA-PBE) results for an optimized crystal structure of Na2CrH2.

Symmetry: P4/mbm
Total energy, eV per cell: -34.088

a b c (Å): 5.715 5.715 4.656
angles (deg): 90.00 90.00 90.00
Atoms (fractional coordinates):
Na 0.179 0.321 0.000
Na 0.321 0.821 0.000
Na 0.679 0.179 0.000
Na 0.821 0.679 0.000
Cr 0.000 0.000 0.500
Cr 0.500 0.500 0.500
H 0.236 0.736 0.500
H 0.264 0.236 0.500
H 0.736 0.764 0.500
H 0.764 0.264 0.500